A plane-wave DFT calculation with PBE-GGA was carried out for a relaxed SmFe4B4 crystal.

Density of states at the Fermi level ... 14.314 states/eV/cell
Energy relative to the elements ... -455 meV per atom
Size of the total moment ... 0.76 μB per formula unit
Volume ... 187.18 Å³ per cell

```
data_SmFe4B4
_chemical_formula_sum 'Sm2 Fe8 B8'
_cell_length_a 7.0099
_cell_length_b 7.0099
_cell_length_c 3.8093
_cell_angle_alpha 90.00
_cell_angle_beta 90.00
_cell_angle_gamma 90.00
_symmetry_space_group_name_H-M 'P 42/n'
_symmetry_Int_Tables_number 86
loop_
_symmetry_equiv_pos_as_xyz
'x,y,z'
'-x,-y,-z'
'-y,x+1/2,z+1/2'
'y,-x+1/2,-z+1/2'
'-x+1/2,-y+1/2,z'
'x+1/2,y+1/2,-z'
'y+1/2,-x,z+1/2'
'-y+1/2,x,-z+1/2'
loop_
_atom_site_label
_atom_site_type_symbol
_atom_site_fract_x
_atom_site_fract_y
_atom_site_fract_z
Sm1 Sm 0.2500 0.2500 0.2500
Fe1 Fe 0.1179 0.6369 0.1422
B1 B 0.0490 0.9160 0.1441
```